No. 1
Computed, not measured: a geometry-optimized Rb2InAgBr6 structure at the PBE level of DFT.

Cell: 7.8625 7.8625 7.8625 Å, 60.00 60.00 60.00°
Fractional coordinates of all 10 atoms:
In  0.0000  0.0000  0.0000
Br  0.7551  0.7551  0.2449
Br  0.2449  0.7551  0.2449
Ag  0.5000  0.5000  0.5000
Br  0.7551  0.2449  0.2449
Rb  0.7500  0.7500  0.7500
Br  0.7551  0.2449  0.7551
Br  0.2449  0.7551  0.7551
Br  0.2449  0.2449  0.7551
Rb  0.2500  0.2500  0.2500

Summary:
Raw total energy in eV/atom: -2.854
Formation energy from raw total energies in eV/atom: -1.10
Space-group type: Fm-3m, No. 225
Excess energy over the best structure of this formula in the dataset in eV/f.u.: 0.14



No. 2
Computed, not measured: a geometry-optimized NaPrNd2Se4 structure at the PBE level of DFT.

Cell: 4.2267 7.3606 7.3668 Å, 109.15 90.00 90.00°
Fractional coordinates of all 8 atoms:
Se  0.0000  0.2499  0.7481
Se  0.5000  0.2535  0.2502
Se  0.0000  0.7501  0.2519
Nd  0.5000  0.0000  0.5000
Se  0.5000  0.7465  0.7498
Na  0.5000  0.5000  0.0000
Pr  0.0000  0.0000  0.0000
Nd  0.0000  0.5000  0.5000

Summary:
Raw total energy in eV/atom: -5.466
Formation energy from raw total energies in eV/atom: -1.77
Space-group type: P2/m, No. 10



No. 3
Computed, not measured: a geometry-optimized In3TeBr structure at the PBE level of DFT.

Cell: 7.1105 6.4160 7.9442 Å, 113.74 92.02 90.05°
Fractional coordinates of all 10 atoms:
Te  0.1029  0.9291  0.7056
In  0.8774  0.7346  0.3171
Br  0.2667  0.6435  0.1346
In  0.7098  0.0265  0.9029
In  0.1226  0.4178  0.6829
Br  0.7332  0.5085  0.8654
Te  0.8971  0.2232  0.2944
In  0.2904  0.1253  0.0970
In  0.4775  0.8284  0.5065
In  0.5225  0.3214  0.4935

Summary:
Raw total energy in eV/atom: -2.943
Formation energy from raw total energies in eV/atom: -0.34
Space-group type: P1, No. 1
Excess energy over the best structure of this formula in the dataset in eV/f.u.: 0.00



No. 4
Computed, not measured: a geometry-optimized Pm7Sm12Er structure at the PBE level of DFT.

Cell: 8.8664 8.8664 8.8664 Å, 86.89 86.89 86.89°
Fractional coordinates of all 20 atoms:
Sm  0.5059  0.3840  0.8649
Sm  0.1468  0.7475  0.2729
Sm  0.2525  0.7271  0.8532
Pm  0.8488  0.6040  0.9234
Pm  0.9234  0.8488  0.6040
Er  0.0000  0.0000  0.0000
Sm  0.8532  0.2525  0.7271
Pm  0.3960  0.0766  0.1512
Sm  0.7475  0.2729  0.1468
Sm  0.2729  0.1468  0.7475
Pm  0.1512  0.3960  0.0766
Pm  0.6040  0.9234  0.8488
Pm  0.5000  0.5000  0.5000
Sm  0.3840  0.8649  0.5059
Sm  0.1351  0.4941  0.6160
Sm  0.8649  0.5059  0.3840
Sm  0.6160  0.1351  0.4941
Pm  0.0766  0.1512  0.3960
Sm  0.4941  0.6160  0.1351
Sm  0.7271  0.8532  0.2525

Summary:
Raw total energy in eV/atom: -4.495
Space-group type: R-3, No. 148
ΔE_f in eV/atom: 0.23
Excess energy over the best structure of this formula in the dataset in eV/f.u.: 0.00



No. 5
Computed, not measured: a geometry-optimized NaSr3Pd structure at the PBE level of DFT.

Cell: 6.1653 6.1653 6.1653 Å, 90.00 90.00 90.00°
Fractional coordinates of all 5 atoms:
Na  0.0000  0.0000  0.0000
Sr  0.5000  0.0000  0.0000
Pd  0.5000  0.5000  0.5000
Sr  0.0000  0.0000  0.5000
Sr  0.0000  0.5000  0.0000

Summary:
Raw total energy in eV/atom: -1.715
Space-group type: Pm-3m, No. 221
ΔE_f in eV/atom: 0.60
Excess energy over the best structure of this formula in the dataset in eV/f.u.: 4.41



No. 6
Computed, not measured: a geometry-optimized SrScAu2 structure at the PBE level of DFT.

Cell: 4.3119 4.3119 7.1484 Å, 72.43 72.43 60.08°
Fractional coordinates of all 4 atoms:
Au  0.0214  0.0214  0.9361
Sc  0.7500  0.7500  0.7500
Sr  0.2500  0.2500  0.2500
Au  0.4786  0.4786  0.5639

Summary:
Raw total energy in eV/atom: -4.275
Space-group type: C2/m, No. 12
ΔE_f in eV/atom: -0.63
Excess energy over the best structure of this formula in the dataset in eV/f.u.: 0.40



No. 7
Computed, not measured: a geometry-optimized YMn2Zn2 structure at the PBE level of DFT.

Cell: 4.1131 4.1131 5.7933 Å, 69.21 69.21 90.00°
Fractional coordinates of all 5 atoms:
Zn  0.7500  0.2500  0.5000
Mn  0.6012  0.6012  0.7976
Zn  0.2500  0.7500  0.5000
Mn  0.3988  0.3988  0.2024
Y  0.0000  0.0000  0.0000

Summary:
Raw total energy in eV/atom: -5.373
Space-group type: I4/mmm, No. 139
ΔE_f in eV/atom: 0.10
Excess energy over the best structure of this formula in the dataset in eV/f.u.: 0.00



No. 8
Computed, not measured: a geometry-optimized Ac2Nd8Ho structure at the PBE level of DFT.

Cell: 8.2398 10.1477 10.1477 Å, 40.35 51.08 51.08°
Fractional coordinates of all 11 atoms:
Nd  0.7833  0.1963  0.6660
Nd  0.7833  0.6660  0.1963
Nd  0.2167  0.3340  0.8037
Nd  0.2091  0.7413  0.7413
Nd  0.2167  0.8037  0.3340
Nd  0.7583  0.6074  0.6074
Nd  0.7909  0.2587  0.2587
Ac  0.4026  0.1728  0.1728
Ho  0.0000  0.0000  0.0000
Ac  0.5974  0.8272  0.8272
Nd  0.2417  0.3926  0.3926

Summary:
Raw total energy in eV/atom: -4.471
Space-group type: C2/m, No. 12
ΔE_f in eV/atom: 0.16
Excess energy over the best structure of this formula in the dataset in eV/f.u.: 0.00